# 1
Below is WSI2O after structural relaxation, with properties calculated at the PBE with a Hubbard U level.

a = 5.755 Å, b = 5.755 Å, c = 3.622 Å
α = 90.00°, β = 90.00°, γ = 90.00°
Space group P4/mmm (No. 123)
Inequivalent atoms, fractional coordinates:
W 0.000 0.000 0.000
S 0.500 0.500 0.500
I 0.000 0.500 0.500
O 0.500 0.500 0.000

Results
The density is 6.72 g/cm³. As for the crystal system: tetragonal. The calculation puts the offset from the most stable computed form at 3.06 eV/f.u. The value obtained for the calculated total energy is -0.2295 Ry per atom.


# 2
Below is WSI2O after structural relaxation, with properties calculated at the PBE with a Hubbard U level.

a = 5.659 Å, b = 5.659 Å, c = 3.858 Å
α = 90.00°, β = 90.00°, γ = 90.00°
Space group P4/mmm (No. 123)
Inequivalent atoms, fractional coordinates:
W 0.000 0.000 0.000
S 0.500 0.500 0.500
I 0.000 0.500 0.000
O 0.000 0.000 0.500

Results
The density is 6.53 g/cm³. As for the crystal system: tetragonal. The calculation puts the offset from the most stable computed form at 0.00 eV/f.u. The value obtained for the calculated total energy is -0.2745 Ry per atom.


# 3
Below is W2SIO after structural relaxation, with properties calculated at the PBE with a Hubbard U level.

a = 4.836 Å, b = 4.836 Å, c = 5.968 Å
α = 90.00°, β = 90.00°, γ = 90.00°
Space group P4/mmm (No. 123)
Inequivalent atoms, fractional coordinates:
W 0.000 0.500 0.000
S 0.000 0.000 0.000
I 0.000 0.000 0.500
O 0.500 0.500 0.500

Results
The density is 6.46 g/cm³. As for the crystal system: tetragonal. The value obtained for the calculated total energy is -0.2521 Ry per atom.


Q: Which value of calculated total energy does entry 2 give?
A: -0.2745 Ry per atom


Q: The lowest calculated total energy belongs to which entry?
A: number 2